Compound: ErTh4Co4
Source: the Alexandria database
Functional: GGA-PBE
Structure: optimized geometry

Cell lengths 8.609, 8.609, 5.566 Å; angles 90.00, 90.00, 90.00 degrees
Positions (direct):
Er 0.250 0.250 0.250
Er 0.750 0.750 0.750
Th 0.056 0.662 0.187
Th 0.162 0.944 0.687
Th 0.338 0.556 0.687
Th 0.444 0.838 0.187
Th 0.556 0.162 0.813
Th 0.662 0.444 0.313
Th 0.838 0.056 0.313
Th 0.944 0.338 0.813
Co 0.040 0.624 0.677
Co 0.124 0.960 0.177
Co 0.376 0.540 0.177
Co 0.460 0.876 0.677
Co 0.540 0.124 0.323
Co 0.624 0.460 0.823
Co 0.876 0.040 0.823
Co 0.960 0.376 0.323

Properties
magnetic moment = 0.001 Bohr magnetons per cell
total DFT energy (no corrections) = -7.21 eV per atom